(1)
DyTlCdTe3: optimized geometry, PBE-GGA.

Cell: 8.7172 4.7199 18.6409 Å, 90.00 90.00 90.00°
Closest atoms and distances in Å follow each position.
Element x y z (fractional)
Cd 0.5791 0.7500 0.3409  5 Te 2.85-3.18
Cd 0.9209 0.2500 0.8409  5 Te 2.85-3.18
Cd 0.0791 0.7500 0.1591  5 Te 2.85-3.18
Cd 0.4209 0.2500 0.6591  5 Te 2.85-3.18
Tl 0.9409 0.2500 0.3043  6 Te 3.48-3.54, 2 Cd 3.79
Tl 0.5591 0.7500 0.8043  6 Te 3.48-3.54, 2 Cd 3.79
Tl 0.0591 0.7500 0.6957  6 Te 3.48-3.54, 2 Cd 3.79
Tl 0.4409 0.2500 0.1957  6 Te 3.48-3.54, 2 Cd 3.79
Te 0.2672 0.2500 0.7938  2 Cd 2.85-3.14, 1 Dy 3.10
Te 0.3725 0.7500 0.0579  3 Dy 3.12-3.16, 1 Cd 3.18
Te 0.5048 0.7500 0.5760  2 Cd 2.92, 1 Dy 3.21
Te 0.7672 0.2500 0.7062  2 Cd 2.85-3.14, 1 Dy 3.10
Te 0.1275 0.2500 0.5579  3 Dy 3.12-3.16, 1 Cd 3.18
Te 0.4952 0.2500 0.4240  2 Cd 2.92, 1 Dy 3.21
Te 0.9952 0.2500 0.0760  2 Cd 2.92, 1 Dy 3.21
Te 0.8725 0.7500 0.4421  3 Dy 3.12-3.16, 1 Cd 3.18
Te 0.2328 0.7500 0.2938  2 Cd 2.85-3.14, 1 Dy 3.10
Te 0.7328 0.7500 0.2062  2 Cd 2.85-3.14, 1 Dy 3.10
Te 0.0048 0.7500 0.9240  2 Cd 2.92, 1 Dy 3.21
Te 0.6275 0.2500 0.9421  3 Dy 3.12-3.16, 1 Cd 3.18
Dy 0.2327 0.7500 0.4599  7 Te 3.10-3.35
Dy 0.7327 0.7500 0.0401  7 Te 3.10-3.35
Dy 0.7673 0.2500 0.5401  7 Te 3.10-3.35
Dy 0.2673 0.2500 0.9599  7 Te 3.10-3.35

Results
The total moment comes out at 0.00 μB/cell. As for the polymorph energy (0 for the lowest one): 86 meV/atom.

(2)
Na4GaSiIr2: optimized geometry, PBE-GGA.

Cell: 4.5426 4.5426 6.4452 Å, 90.00 90.00 90.00°
Closest atoms and distances in Å follow each position.
Element x y z (fractional)
Si 0.5000 0.5000 0.0000  4 Ir 2.70, 4 Na 2.79
Na 0.0000 0.5000 0.7476  4 Na 2.78-2.79, 2 Ga 2.78, 2 Si 2.79, 1 Ir 3.09
Na 0.0000 0.0000 0.0000  4 Ir 2.70, 4 Na 2.79
Na 0.5000 0.5000 0.5000  4 Na 2.78, 4 Ir 2.87
Na 0.5000 0.0000 0.2524  2 Ga 2.78, 4 Na 2.78-2.79, 2 Si 2.79, 1 Ir 3.09
Ir 0.5000 0.0000 0.7731  4 Na 2.70-2.87, 2 Si 2.70, 2 Ga 2.87
Ir 0.0000 0.5000 0.2269  2 Si 2.70, 4 Na 2.70-2.87, 2 Ga 2.87
Ga 0.0000 0.0000 0.5000  4 Na 2.78, 4 Ir 2.87

Results
The total moment comes out at 0.00 μB/cell. As for the calculated total energy: -30.3 eV per cell.

(3)
HfCuNiBi: optimized geometry, PBE-GGA.

Cell: 4.6713 4.6713 4.6713 Å, 60.00 60.00 60.00°
Closest atoms and distances in Å follow each position.
Element x y z (fractional)
Bi 0.0000 0.0000 0.0000  4 Cu 2.86, 4 Hf 2.86
Ni 0.5000 0.5000 0.5000  4 Hf 2.86, 4 Cu 2.86
Cu 0.7500 0.7500 0.7500  4 Bi 2.86, 4 Ni 2.86
Hf 0.2500 0.2500 0.2500  4 Ni 2.86, 4 Bi 2.86

Results
The total moment comes out at 0.00 μB/cell. As for the polymorph energy (0 for the lowest one): 161 meV/atom.

Number 1 is which compound?
DyTlCdTe3

What is the formula in the third record?
HfCuNiBi

total moment of number 3 (HfCuNiBi)?
0.00 μB/cell

What did the second record say?
Na4GaSiIr2: optimized geometry, PBE-GGA.

Cell: 4.5426 4.5426 6.4452 Å, 90.00 90.00 90.00°
Closest atoms and distances in Å follow each position.
Element x y z (fractional)
Si 0.5000 0.5000 0.0000  4 Ir 2.70, 4 Na 2.79
Na 0.0000 0.5000 0.7476  4 Na 2.78-2.79, 2 Ga 2.78, 2 Si 2.79, 1 Ir 3.09
Na 0.0000 0.0000 0.0000  4 Ir 2.70, 4 Na 2.79
Na 0.5000 0.5000 0.5000  4 Na 2.78, 4 Ir 2.87
Na 0.5000 0.0000 0.2524  2 Ga 2.78, 4 Na 2.78-2.79, 2 Si 2.79, 1 Ir 3.09
Ir 0.5000 0.0000 0.7731  4 Na 2.70-2.87, 2 Si 2.70, 2 Ga 2.87
Ir 0.0000 0.5000 0.2269  2 Si 2.70, 4 Na 2.70-2.87, 2 Ga 2.87
Ga 0.0000 0.0000 0.5000  4 Na 2.78, 4 Ir 2.87

Results
The total moment comes out at 0.00 μB/cell. As for the calculated total energy: -30.3 eV per cell.